Entry 1:
5
Lattice="4.647 0.000 0.000 0.000 4.647 0.000 0.000 0.000 5.414" Properties=species:S:1:pos:R:3 comment="PBE KZnFe2Co, relaxed" m_tot_mub_per_cell=7.90 n_ef_per_ev_atom=2.283 ef_ev_per_atom=1.615 pbc="T T T"
K 0.000 0.000 0.000
Zn 0.000 0.000 2.707
Fe 0.000 2.324 2.707
Fe 2.324 0.000 2.707
Co 2.324 2.324 0.000

Entry 2:
5
Lattice="6.094 0.000 0.000 0.000 6.094 0.000 0.000 0.000 4.897" Properties=species:S:1:pos:R:3 comment="PBE NaSr2PtBr, relaxed" m_tot_mub_per_cell=0.00 e_form_raw_ev_per_atom=0.056 n_ef_per_ev_atom=0.223 pbc="T T T"
Na 0.000 0.000 0.000
Sr 0.000 3.047 0.000
Sr 3.047 0.000 0.000
Pt 3.047 3.047 2.448
Br 0.000 0.000 2.448

Entry 3:
3
Lattice="3.221 0.000 0.000 -1.610 2.789 0.000 0.000 0.000 6.658" Properties=species:S:1:pos:R:3 comment="PBE ZrBeSb, relaxed" m_tot_mub_per_cell=0.00 e_form_raw_ev_per_atom=0.299 n_ef_per_ev_atom=0.814 e_above_lowest_polymorph_ev_per_atom=0.4505 pbc="T T T"
Zr 0.000 0.000 0.000
Be 1.610 0.930 2.142
Sb 0.000 1.859 4.147

Entry 4:
9
Lattice="-4.824 4.824 1.749 4.824 -4.824 1.749 4.824 4.824 -1.749" Properties=species:S:1:pos:R:3 comment="PBE Zn4As5, relaxed" m_tot_mub_per_cell=0.00 n_ef_per_ev_atom=0.482 ef_ev_per_atom=0.274 e_above_lowest_polymorph_ev_per_atom=0.0000 pbc="T T T"
Zn 3.295 0.000 0.000
Zn 6.352 0.000 0.000
Zn 0.000 3.295 0.000
Zn 0.000 6.352 0.000
As 0.000 0.000 0.000
As 3.141 3.141 0.000
As 1.683 -1.683 1.749
As -1.683 1.683 1.749
As 1.683 1.683 1.749

Entry 5:
8
Lattice="7.126 0.000 0.000 0.000 3.972 0.000 -2.269 0.000 6.800" Properties=species:S:1:pos:R:3 comment="PBE Sm4IrS2Cl, relaxed" m_tot_mub_per_cell=0.00 e_form_raw_ev_per_atom=-1.527 n_ef_per_ev_atom=0.615 pbc="T T T"
Sm 1.108 0.000 1.606
Sm -0.028 1.986 5.061
Sm 4.885 1.986 1.739
Sm 3.749 0.000 5.194
Ir -1.135 0.000 3.400
S 0.000 1.986 0.000
S 3.563 0.000 0.000
Cl 2.429 1.986 3.400

Entry 6:
15
Lattice="4.398 2.539 7.310 -4.398 2.539 7.310 0.000 -5.078 7.310" Properties=species:S:1:pos:R:3 comment="PBE Ca3LaHo3Te8, relaxed" m_tot_mub_per_cell=0.00 e_form_raw_ev_per_atom=-1.488 n_ef_per_ev_atom=0.326 pbc="T T T"
Ca -2.199 -1.270 7.310
Ca -2.199 1.270 14.620
Ca 0.000 2.539 7.310
La 0.000 0.000 10.965
Ho -4.398 0.000 10.965
Ho -2.199 1.270 3.655
Ho 2.199 1.270 3.655
Te -2.304 -1.330 12.802
Te 0.000 -2.660 9.128
Te -2.304 1.330 9.128
Te 0.000 0.000 5.430
Te 0.000 0.000 16.500
Te 2.304 -1.330 12.802
Te 0.000 2.660 12.802
Te 2.304 1.330 9.128

Entry 7:
5
Lattice="6.110 0.000 0.000 0.000 6.110 0.000 0.000 0.000 3.903" Properties=species:S:1:pos:R:3 comment="PBE AgSnI2N, relaxed" m_tot_mub_per_cell=0.01 e_form_raw_ev_per_atom=0.583 n_ef_per_ev_atom=0.481 e_above_lowest_polymorph_ev_per_atom=0.0000 pbc="T T T"
Ag 0.000 0.000 0.000
Sn 3.055 3.055 1.952
I 0.000 3.055 1.952
I 3.055 0.000 1.952
N 3.055 3.055 0.000

Entry 8:
18
Lattice="5.331 -3.594 0.000 5.331 3.594 0.000 -3.384 0.000 7.785" Properties=species:S:1:pos:R:3 comment="PBE BaH4Br2O2, relaxed" m_tot_mub_per_cell=0.00 n_ef_per_ev_atom=0.000 energy_ev_per_atom=-4.617 pbc="T T T"
Ba 2.794 2.827 5.839
Ba 4.485 -2.827 1.946
H 4.243 1.325 0.427
H 3.298 1.337 2.849
H 5.673 1.337 1.043
H 4.728 1.325 3.466
H 2.551 -1.325 4.319
H 1.606 -1.337 6.741
H 3.981 -1.337 4.936
H 3.036 -1.325 7.358
Br 0.838 0.141 5.025
Br 2.530 -0.141 1.133
Br 4.749 0.141 6.652
Br 6.441 -0.141 2.760
O 5.066 1.874 0.476
O 3.905 1.874 3.417
O 3.374 -1.874 4.368
O 2.213 -1.874 7.309

Entry 9:
12
Lattice="5.276 -2.335 0.000 5.276 2.335 0.000 -4.242 0.000 7.956" Properties=species:S:1:pos:R:3 comment="PBE TaTi4Rh7, relaxed" m_tot_mub_per_cell=0.00 n_ef_per_ev_atom=0.863 ef_ev_per_atom=-0.336 pbc="T T T"
Ta 0.000 0.000 0.000
Ti -0.123 0.000 5.292
Ti 3.331 0.000 1.817
Ti 2.978 0.000 6.139
Ti 6.432 0.000 2.664
Rh -0.632 0.000 2.547
Rh -1.579 0.000 7.217
Rh 1.835 0.000 3.697
Rh 5.276 0.000 0.000
Rh 4.475 0.000 4.259
Rh 7.888 0.000 0.739
Rh 6.941 0.000 5.408

Entry 10:
11
Lattice="5.858 -3.833 0.000 5.858 3.833 0.000 -0.525 0.000 3.775" Properties=species:S:1:pos:R:3 comment="PBE Ga2AsF8, relaxed" m_tot_mub_per_cell=0.00 e_form_raw_ev_per_atom=-2.113 n_ef_per_ev_atom=0.140 pbc="T T T"
Ga 2.514 0.000 1.429
Ga 8.678 0.000 2.346
As 5.596 0.000 1.887
F 0.816 0.000 1.083
F 3.951 1.285 1.622
F 2.464 0.000 3.332
F 7.241 1.285 2.153
F 3.951 -1.285 1.622
F 8.728 0.000 0.443
F 7.241 -1.285 2.153
F 10.376 0.000 2.692

Entry 11:
20
Lattice="6.524 -6.621 0.000 6.524 6.621 0.000 -2.586 0.000 5.863" Properties=species:S:1:pos:R:3 comment="PBE NaMnGe2S6, relaxed" m_tot_mub_per_cell=0.00 e_form_raw_ev_per_atom=-0.315 n_ef_per_ev_atom=0.220 pbc="T T T"
Na 4.584 5.224 4.397
Na 5.877 -5.224 1.466
Mn 5.877 3.929 1.466
Mn 4.584 -3.929 4.397
Ge 1.801 1.098 4.812
Ge 3.094 -1.098 1.880
Ge 7.367 1.098 3.983
Ge 8.660 -1.098 1.052
S -0.441 1.144 4.249
S 0.853 -1.144 1.318
S 3.137 2.900 5.526
S 3.203 0.870 2.994
S 6.031 2.900 3.269
S 4.496 -0.870 0.063
S 5.965 0.870 5.801
S 4.430 -2.900 2.595
S 7.258 -0.870 2.869
S 7.324 -2.900 0.337
S 9.608 1.144 4.546
S 10.902 -1.144 1.614

Entry 12:
16
Lattice="9.946 0.000 0.000 0.000 3.868 5.022 0.000 -3.868 5.022" Properties=species:S:1:pos:R:3 comment="PBE MgZrSc14, relaxed" m_tot_mub_per_cell=0.52 n_ef_per_ev_atom=1.686 ef_ev_per_atom=0.042 pbc="T T T"
Mg 0.000 0.000 0.000
Zr 0.000 0.000 4.620
Sc 0.000 -1.619 7.307
Sc 0.000 1.619 7.307
Sc 2.229 0.000 2.343
Sc 2.471 -2.205 4.504
Sc 2.471 2.205 4.504
Sc 2.680 0.000 6.728
Sc 4.973 -2.312 6.740
Sc 4.973 0.000 4.445
Sc 4.973 0.000 8.922
Sc 4.973 2.312 6.740
Sc 7.266 0.000 6.728
Sc 7.475 -2.205 4.504
Sc 7.475 2.205 4.504
Sc 7.717 0.000 2.343